1.
# Nb4FeB3, optimized geometry, DFT PBE-GGA
# - energy (eV for the cell shown) = -142.9
data_Nb4FeB3
_cell_length_a 3.2394
_cell_length_b 3.2394
_cell_length_c 23.3904
_cell_angle_alpha 90.00
_cell_angle_beta 90.00
_cell_angle_gamma 120.00
_symmetry_space_group_name_H-M 'P 1'
_symmetry_Int_Tables_number 1
loop_
_symmetry_equiv_pos_as_xyz
'x,y,z'
loop_
_atom_site_label
_atom_site_type_symbol
_atom_site_fract_x
_atom_site_fract_y
_atom_site_fract_z
Nb1 Nb 0.0000 0.0000 0.1704
Nb2 Nb 0.0000 0.0000 0.3296
Nb3 Nb 0.0000 0.0000 0.6704
Nb4 Nb 0.0000 0.0000 0.8296
Nb5 Nb 0.3333 0.6667 0.0566
Nb6 Nb 0.3333 0.6667 0.4434
Nb7 Nb 0.6667 0.3333 0.5566
Nb8 Nb 0.6667 0.3333 0.9434
Fe1 Fe 0.3333 0.6667 0.2500
Fe2 Fe 0.6667 0.3333 0.7500
B1 B 0.0000 0.0000 0.0000
B2 B 0.0000 0.0000 0.5000
B3 B 0.3333 0.6667 0.6156
B4 B 0.3333 0.6667 0.8844
B5 B 0.6667 0.3333 0.1156
B6 B 0.6667 0.3333 0.3844

2.
# NbFeB, optimized geometry, DFT PBE-GGA
# - energy (eV for the cell shown) = -51.1
data_NbFeB
_cell_length_a 3.5160
_cell_length_b 3.5160
_cell_length_c 6.5222
_cell_angle_alpha 90.00
_cell_angle_beta 90.00
_cell_angle_gamma 120.00
_symmetry_space_group_name_H-M 'P 1'
_symmetry_Int_Tables_number 1
loop_
_symmetry_equiv_pos_as_xyz
'x,y,z'
loop_
_atom_site_label
_atom_site_type_symbol
_atom_site_fract_x
_atom_site_fract_y
_atom_site_fract_z
Nb1 Nb 0.0000 0.0000 0.0000
Nb2 Nb 0.0000 0.0000 0.5000
Fe1 Fe 0.3333 0.6667 0.2500
Fe2 Fe 0.6667 0.3333 0.7500
B1 B 0.3333 0.6667 0.7500
B2 B 0.6667 0.3333 0.2500

3.
# NbFe2B4, optimized geometry, DFT PBE-GGA
# - energy (eV for the cell shown) = -113.8
data_NbFe2B4
_cell_length_a 3.0130
_cell_length_b 3.1654
_cell_length_c 12.6493
_cell_angle_alpha 90.00
_cell_angle_beta 90.00
_cell_angle_gamma 90.00
_symmetry_space_group_name_H-M 'P 1'
_symmetry_Int_Tables_number 1
loop_
_symmetry_equiv_pos_as_xyz
'x,y,z'
loop_
_atom_site_label
_atom_site_type_symbol
_atom_site_fract_x
_atom_site_fract_y
_atom_site_fract_z
Nb1 Nb 0.0000 0.0000 0.0000
Nb2 Nb 0.5000 0.5000 0.5000
Fe1 Fe 0.0000 0.5000 0.3134
Fe2 Fe 0.0000 0.5000 0.6866
Fe3 Fe 0.5000 0.0000 0.1866
Fe4 Fe 0.5000 0.0000 0.8134
B1 B 0.0000 0.0000 0.4249
B2 B 0.0000 0.0000 0.5751
B3 B 0.0000 0.5000 0.1512
B4 B 0.0000 0.5000 0.8488
B5 B 0.5000 0.0000 0.3488
B6 B 0.5000 0.0000 0.6512
B7 B 0.5000 0.5000 0.0751
B8 B 0.5000 0.5000 0.9249

4.
# NbFeB, optimized geometry, DFT PBE-GGA
# - energy (eV for the cell shown) = -75.6
data_NbFeB
_cell_length_a 6.3533
_cell_length_b 6.3533
_cell_length_c 2.9770
_cell_angle_alpha 90.00
_cell_angle_beta 90.00
_cell_angle_gamma 120.00
_symmetry_space_group_name_H-M 'P 1'
_symmetry_Int_Tables_number 1
loop_
_symmetry_equiv_pos_as_xyz
'x,y,z'
loop_
_atom_site_label
_atom_site_type_symbol
_atom_site_fract_x
_atom_site_fract_y
_atom_site_fract_z
Nb1 Nb 0.0000 0.6194 0.0000
Nb2 Nb 0.3806 0.3806 0.0000
Nb3 Nb 0.6194 0.0000 0.0000
Fe1 Fe 0.0000 0.0000 0.0000
Fe2 Fe 0.3333 0.6667 0.5000
Fe3 Fe 0.6667 0.3333 0.5000
B1 B 0.0000 0.2853 0.5000
B2 B 0.2853 0.0000 0.5000
B3 B 0.7147 0.7147 0.5000

5.
# NbFeB, optimized geometry, DFT PBE-GGA
# - energy (eV for the cell shown) = -89.5
data_NbFeB
_cell_length_a 5.5223
_cell_length_b 5.5223
_cell_length_c 5.5223
_cell_angle_alpha 90.00
_cell_angle_beta 90.00
_cell_angle_gamma 90.00
_symmetry_space_group_name_H-M 'P 1'
_symmetry_Int_Tables_number 1
loop_
_symmetry_equiv_pos_as_xyz
'x,y,z'
loop_
_atom_site_label
_atom_site_type_symbol
_atom_site_fract_x
_atom_site_fract_y
_atom_site_fract_z
Nb1 Nb 0.0000 0.0000 0.0000
Nb2 Nb 0.0000 0.5000 0.5000
Nb3 Nb 0.5000 0.0000 0.5000
Nb4 Nb 0.5000 0.5000 0.0000
Fe1 Fe 0.2500 0.2500 0.2500
Fe2 Fe 0.2500 0.7500 0.7500
Fe3 Fe 0.7500 0.2500 0.7500
Fe4 Fe 0.7500 0.7500 0.2500
B1 B 0.2500 0.2500 0.7500
B2 B 0.2500 0.7500 0.2500
B3 B 0.7500 0.2500 0.2500
B4 B 0.7500 0.7500 0.7500

6.
# NbFeB, optimized geometry, DFT PBE-GGA
# - energy (eV for the cell shown) = -74.8
data_NbFeB
_cell_length_a 6.3667
_cell_length_b 6.3667
_cell_length_c 3.1067
_cell_angle_alpha 90.00
_cell_angle_beta 90.00
_cell_angle_gamma 120.00
_symmetry_space_group_name_H-M 'P 1'
_symmetry_Int_Tables_number 1
loop_
_symmetry_equiv_pos_as_xyz
'x,y,z'
loop_
_atom_site_label
_atom_site_type_symbol
_atom_site_fract_x
_atom_site_fract_y
_atom_site_fract_z
Nb1 Nb 0.0000 0.2700 0.0000
Nb2 Nb 0.2700 0.0000 0.0000
Nb3 Nb 0.7300 0.7300 0.0000
Fe1 Fe 0.0000 0.6041 0.5000
Fe2 Fe 0.3959 0.3959 0.5000
Fe3 Fe 0.6041 0.0000 0.5000
B1 B 0.0000 0.0000 0.5000
B2 B 0.3333 0.6667 0.0000
B3 B 0.6667 0.3333 0.0000

7.
# Nb3FeB2, optimized geometry, DFT PBE-GGA
# - energy (eV for the cell shown) = -106.9
data_Nb3FeB2
_cell_length_a 3.1916
_cell_length_b 3.1916
_cell_length_c 18.1431
_cell_angle_alpha 90.00
_cell_angle_beta 90.00
_cell_angle_gamma 120.00
_symmetry_space_group_name_H-M 'P 1'
_symmetry_Int_Tables_number 1
loop_
_symmetry_equiv_pos_as_xyz
'x,y,z'
loop_
_atom_site_label
_atom_site_type_symbol
_atom_site_fract_x
_atom_site_fract_y
_atom_site_fract_z
Nb1 Nb 0.0000 0.0000 0.0000
Nb2 Nb 0.0000 0.0000 0.5000
Nb3 Nb 0.3333 0.6667 0.1480
Nb4 Nb 0.3333 0.6667 0.3520
Nb5 Nb 0.6667 0.3333 0.6480
Nb6 Nb 0.6667 0.3333 0.8520
Fe1 Fe 0.0000 0.0000 0.2500
Fe2 Fe 0.0000 0.0000 0.7500
B1 B 0.3333 0.6667 0.5760
B2 B 0.3333 0.6667 0.9240
B3 B 0.6667 0.3333 0.0760
B4 B 0.6667 0.3333 0.4240

8.
# NbFeB, optimized geometry, DFT PBE-GGA
# - energy (eV for the cell shown) = -106.6
data_NbFeB
_cell_length_a 5.9648
_cell_length_b 3.2248
_cell_length_c 7.0424
_cell_angle_alpha 90.00
_cell_angle_beta 90.00
_cell_angle_gamma 90.00
_symmetry_space_group_name_H-M 'P 1'
_symmetry_Int_Tables_number 1
loop_
_symmetry_equiv_pos_as_xyz
'x,y,z'
loop_
_atom_site_label
_atom_site_type_symbol
_atom_site_fract_x
_atom_site_fract_y
_atom_site_fract_z
Nb1 Nb 0.0322 0.2500 0.1743
Nb2 Nb 0.4678 0.7500 0.6743
Nb3 Nb 0.5322 0.2500 0.3257
Nb4 Nb 0.9678 0.7500 0.8257
Fe1 Fe 0.1381 0.2500 0.5570
Fe2 Fe 0.3619 0.7500 0.0570
Fe3 Fe 0.6381 0.2500 0.9430
Fe4 Fe 0.8619 0.7500 0.4430
B1 B 0.2340 0.7500 0.3705
B2 B 0.2660 0.2500 0.8705
B3 B 0.7340 0.7500 0.1295
B4 B 0.7660 0.2500 0.6295

9.
# NbFeB, optimized geometry, DFT PBE-GGA
# - energy (eV for the cell shown) = -95.3
data_NbFeB
_cell_length_a 5.3850
_cell_length_b 5.3850
_cell_length_c 5.3850
_cell_angle_alpha 90.00
_cell_angle_beta 90.00
_cell_angle_gamma 90.00
_symmetry_space_group_name_H-M 'P 1'
_symmetry_Int_Tables_number 1
loop_
_symmetry_equiv_pos_as_xyz
'x,y,z'
loop_
_atom_site_label
_atom_site_type_symbol
_atom_site_fract_x
_atom_site_fract_y
_atom_site_fract_z
Nb1 Nb 0.0000 0.0000 0.0000
Nb2 Nb 0.0000 0.5000 0.5000
Nb3 Nb 0.5000 0.0000 0.5000
Nb4 Nb 0.5000 0.5000 0.0000
Fe1 Fe 0.2500 0.2500 0.7500
Fe2 Fe 0.2500 0.7500 0.2500
Fe3 Fe 0.7500 0.2500 0.2500
Fe4 Fe 0.7500 0.7500 0.7500
B1 B 0.0000 0.0000 0.5000
B2 B 0.0000 0.5000 0.0000
B3 B 0.5000 0.0000 0.0000
B4 B 0.5000 0.5000 0.5000

10.
# Nb2FeB2, optimized geometry, DFT PBE-GGA
# - energy (eV for the cell shown) = -89.5
data_Nb2FeB2
_cell_length_a 3.1047
_cell_length_b 11.3501
_cell_length_c 3.2775
_cell_angle_alpha 90.00
_cell_angle_beta 90.00
_cell_angle_gamma 90.00
_symmetry_space_group_name_H-M 'P 1'
_symmetry_Int_Tables_number 1
loop_
_symmetry_equiv_pos_as_xyz
'x,y,z'
loop_
_atom_site_label
_atom_site_type_symbol
_atom_site_fract_x
_atom_site_fract_y
_atom_site_fract_z
Nb1 Nb 0.0000 0.1350 0.0000
Nb2 Nb 0.0000 0.8650 0.0000
Nb3 Nb 0.5000 0.3650 0.0000
Nb4 Nb 0.5000 0.6350 0.0000
Fe1 Fe 0.0000 0.5000 0.5000
Fe2 Fe 0.5000 0.0000 0.5000
B1 B 0.0000 0.2924 0.5000
B2 B 0.0000 0.7076 0.5000
B3 B 0.5000 0.2076 0.5000
B4 B 0.5000 0.7924 0.5000

11.
# NbFeBPd, optimized geometry, DFT PBE-GGA
# - energy above the most stable polymorph in this dataset (meV/atom) = 0
data_NbFeBPd
_cell_length_a 5.9668
_cell_length_b 5.9668
_cell_length_c 5.9668
_cell_angle_alpha 90.00
_cell_angle_beta 90.00
_cell_angle_gamma 90.00
_symmetry_space_group_name_H-M 'P 1'
_symmetry_Int_Tables_number 1
loop_
_symmetry_equiv_pos_as_xyz
'x,y,z'
loop_
_atom_site_label
_atom_site_type_symbol
_atom_site_fract_x
_atom_site_fract_y
_atom_site_fract_z
Nb1 Nb 0.0000 0.0000 0.0000
Nb2 Nb 0.0000 0.5000 0.5000
Nb3 Nb 0.5000 0.0000 0.5000
Nb4 Nb 0.5000 0.5000 0.0000
Fe1 Fe 0.0000 0.0000 0.5000
Fe2 Fe 0.0000 0.5000 0.0000
Fe3 Fe 0.5000 0.0000 0.0000
Fe4 Fe 0.5000 0.5000 0.5000
B1 B 0.2500 0.2500 0.2500
B2 B 0.2500 0.7500 0.7500
B3 B 0.7500 0.2500 0.7500
B4 B 0.7500 0.7500 0.2500
Pd1 Pd 0.2500 0.2500 0.7500
Pd2 Pd 0.2500 0.7500 0.2500
Pd3 Pd 0.7500 0.2500 0.2500
Pd4 Pd 0.7500 0.7500 0.7500

12.
# NbFeBPd, optimized geometry, DFT PBE-GGA
# - energy above the most stable polymorph in this dataset (meV/atom) = 71
data_NbFeBPd
_cell_length_a 5.9255
_cell_length_b 5.9255
_cell_length_c 5.9255
_cell_angle_alpha 90.00
_cell_angle_beta 90.00
_cell_angle_gamma 90.00
_symmetry_space_group_name_H-M 'P 1'
_symmetry_Int_Tables_number 1
loop_
_symmetry_equiv_pos_as_xyz
'x,y,z'
loop_
_atom_site_label
_atom_site_type_symbol
_atom_site_fract_x
_atom_site_fract_y
_atom_site_fract_z
Nb1 Nb 0.0000 0.0000 0.0000
Nb2 Nb 0.0000 0.5000 0.5000
Nb3 Nb 0.5000 0.0000 0.5000
Nb4 Nb 0.5000 0.5000 0.0000
Fe1 Fe 0.2500 0.2500 0.7500
Fe2 Fe 0.2500 0.7500 0.2500
Fe3 Fe 0.7500 0.2500 0.2500
Fe4 Fe 0.7500 0.7500 0.7500
B1 B 0.0000 0.0000 0.5000
B2 B 0.0000 0.5000 0.0000
B3 B 0.5000 0.0000 0.0000
B4 B 0.5000 0.5000 0.5000
Pd1 Pd 0.2500 0.2500 0.2500
Pd2 Pd 0.2500 0.7500 0.7500
Pd3 Pd 0.7500 0.2500 0.7500
Pd4 Pd 0.7500 0.7500 0.2500

13.
# NbFeBPt, optimized geometry, DFT PBE-GGA
# - energy above the most stable polymorph in this dataset (meV/atom) = 0
data_NbFeBPt
_cell_length_a 6.0127
_cell_length_b 6.0127
_cell_length_c 6.0127
_cell_angle_alpha 90.00
_cell_angle_beta 90.00
_cell_angle_gamma 90.00
_symmetry_space_group_name_H-M 'P 1'
_symmetry_Int_Tables_number 1
loop_
_symmetry_equiv_pos_as_xyz
'x,y,z'
loop_
_atom_site_label
_atom_site_type_symbol
_atom_site_fract_x
_atom_site_fract_y
_atom_site_fract_z
Nb1 Nb 0.0000 0.0000 0.0000
Nb2 Nb 0.0000 0.5000 0.5000
Nb3 Nb 0.5000 0.0000 0.5000
Nb4 Nb 0.5000 0.5000 0.0000
Fe1 Fe 0.0000 0.0000 0.5000
Fe2 Fe 0.0000 0.5000 0.0000
Fe3 Fe 0.5000 0.0000 0.0000
Fe4 Fe 0.5000 0.5000 0.5000
B1 B 0.2500 0.2500 0.2500
B2 B 0.2500 0.7500 0.7500
B3 B 0.7500 0.2500 0.7500
B4 B 0.7500 0.7500 0.2500
Pt1 Pt 0.2500 0.2500 0.7500
Pt2 Pt 0.2500 0.7500 0.2500
Pt3 Pt 0.7500 0.2500 0.2500
Pt4 Pt 0.7500 0.7500 0.7500